Li2LaVAs: optimized geometry, PBE.

ΔH_f (0 K) in meV per atom: 5.3
D(E_F) in states/eV/atom: 0.72
ΔE to the lowest computed polymorph in meV/atom: 0

abc: 4.8072 4.7740 4.8072
angles: 90.00 90.00 90.00
Closest atoms and distances in Å follow each position.
Sites, in units of the cell vectors:
As 0.0000 0.5000 0.0000  2 V 2.39
V 0.0000 0.0000 0.0000  2 As 2.39, 4 Li 2.40
Li 0.0000 0.0000 0.5000  2 V 2.40
Li 0.5000 0.0000 0.0000  2 V 2.40
La 0.5000 0.5000 0.5000  8 Li 3.39, 4 As 3.40

---

SrLi2AcHg4: optimized geometry, PBE.

ΔH_f (0 K) in meV per atom: -415.3
D(E_F) in states/eV/atom: 0.71

abc: 4.9230 4.9230 10.7792
angles: 76.80 76.80 60.00
Closest atoms and distances in Å follow each position.
Sites, in units of the cell vectors:
Sr 0.5000 0.5000 0.5000  8 Hg 3.37-3.38
Li 0.7523 0.7523 0.7430  6 Hg 2.93-2.96
Li 0.2477 0.2477 0.2570  6 Hg 2.93-2.96
Ac 0.0000 0.0000 0.0000  8 Hg 3.37-3.38
Hg 0.3920 0.3920 0.8239  3 Li 2.96, 3 Hg 3.23
Hg 0.8919 0.8919 0.3242  3 Li 2.93, 3 Hg 3.23
Hg 0.1081 0.1081 0.6758  3 Li 2.93, 3 Hg 3.23
Hg 0.6080 0.6080 0.1761  3 Li 2.96, 3 Hg 3.23

---

TiNb2Sn: optimized geometry, PBE.

ΔH_f (0 K) in meV per atom: -162.7
D(E_F) in states/eV/atom: 1.08

abc: 3.4918 4.4748 10.1402
angles: 102.54 90.00 90.00
Closest atoms and distances in Å follow each position.
Sites, in units of the cell vectors:
Ti 0.2500 0.3189 0.6296  5 Sn 2.81-2.85, 2 Nb 3.00
Ti 0.7500 0.6811 0.3704  5 Sn 2.81-2.85, 2 Nb 3.00
Nb 0.7500 0.4392 0.8764  6 Nb 2.84-3.01, 2 Ti 3.00, 2 Sn 3.13-3.14
Nb 0.2500 0.5608 0.1236  6 Nb 2.84-3.01, 2 Ti 3.00, 2 Sn 3.13-3.14
Nb 0.2500 0.9444 0.8868  6 Nb 2.84, 2 Sn 2.89
Nb 0.7500 0.0556 0.1132  6 Nb 2.84, 2 Sn 2.89
Sn 0.7500 0.8308 0.6543  5 Ti 2.81-2.85, 4 Nb 2.89-3.14
Sn 0.2500 0.1692 0.3457  5 Ti 2.81-2.85, 4 Nb 2.89-3.14

---

LiCaTl2In: optimized geometry, PBE.

ΔH_f (0 K) in meV per atom: -225.9
D(E_F) in states/eV/atom: 0.42

abc: 6.7320 5.9185 6.6582
angles: 90.00 90.00 90.00
Closest atoms and distances in Å follow each position.
Sites, in units of the cell vectors:
Li 0.0000 0.0000 0.0000  2 In 2.81, 4 Tl 2.91, 2 Li 2.96
Li 0.0000 0.5000 0.0000  2 In 2.81, 4 Tl 2.91, 2 Li 2.96
Ca 0.2154 0.2500 0.5000  6 Tl 3.38-3.64, 2 In 3.46
Ca 0.7846 0.7500 0.5000  6 Tl 3.38-3.64, 2 In 3.46
Tl 0.7298 0.2500 0.7404  2 Li 2.91, 1 In 3.06, 1 Tl 3.20
Tl 0.7298 0.2500 0.2596  2 Li 2.91, 1 In 3.06, 1 Tl 3.20
Tl 0.2702 0.7500 0.7404  2 Li 2.91, 1 In 3.06, 1 Tl 3.20
Tl 0.2702 0.7500 0.2596  2 Li 2.91, 1 In 3.06, 1 Tl 3.20
In 0.6454 0.7500 0.0000  2 Li 2.81, 2 Tl 3.06
In 0.3546 0.2500 0.0000  2 Li 2.81, 2 Tl 3.06

---

KInSe3: optimized geometry, PBE.

D(E_F) in states/eV/atom: 1.15
E_form (uncorrected) in eV per atom: -0.285
ΔE to the lowest computed polymorph in meV/atom: 0

abc: 5.4017 5.4017 5.4017
angles: 90.00 90.00 90.00
Closest atoms and distances in Å follow each position.
Sites, in units of the cell vectors:
K 0.5000 0.5000 0.5000  12 Se 3.82
Se 0.0000 0.5000 0.0000  2 In 2.70
Se 0.0000 0.0000 0.5000  2 In 2.70
Se 0.5000 0.0000 0.0000  2 In 2.70
In 0.0000 0.0000 0.0000  6 Se 2.70

---

Ac4Pr3Dy4: optimized geometry, PBE.

ΔH_f (0 K) in meV per atom: 47.0
D(E_F) in states/eV/atom: 1.51

abc: 3.7178 5.8300 19.2288
angles: 98.69 89.98 90.00
Closest atoms and distances in Å follow each position.
Sites, in units of the cell vectors:
Ac 0.7285 0.0900 0.1800  2 Ac 3.72, 6 Pr 3.84-3.87, 6 Dy 3.88-3.90
Ac 0.2261 0.2781 0.5547  5 Dy 3.72-3.81, 6 Ac 3.72-4.06, 2 Pr 3.83-3.84
Ac 0.7277 0.7217 0.4430  6 Ac 3.72-4.06, 5 Dy 3.72-3.81, 2 Pr 3.81
Ac 0.2263 0.9064 0.8144  5 Pr 3.56-3.80, 2 Ac 3.72, 2 Dy 3.82
Pr 0.2290 0.6344 0.2680  3 Dy 3.39-3.46, 2 Pr 3.72
Pr 0.7262 0.3652 0.7312  3 Dy 3.40-3.65, 2 Pr 3.72, 4 Ac 3.80
Pr 0.2284 0.0007 0.0016  2 Dy 3.32-3.33, 1 Ac 3.56, 2 Pr 3.72
Dy 0.2271 0.5423 0.0857  3 Pr 3.32-3.46, 4 Dy 3.60-3.72
Dy 0.7273 0.4619 0.9234  4 Dy 3.60-3.72, 5 Pr 3.65-3.77, 3 Ac 4.02-4.03
Dy 0.7254 0.8196 0.6389  2 Pr 3.40, 2 Dy 3.72, 3 Ac 3.72-3.81
Dy 0.2278 0.1798 0.3592  2 Pr 3.39, 1 Ac 3.72, 2 Dy 3.72

---

Sr3HgBi2: optimized geometry, PBE.

ΔH_f (0 K) in meV per atom: -755.9
D(E_F) in states/eV/atom: 0.03
ΔE to the lowest computed polymorph in meV/atom: 0

abc: 5.0023 13.4883 13.3595
angles: 90.00 90.00 90.00
Closest atoms and distances in Å follow each position.
Sites, in units of the cell vectors:
Sr 0.2500 0.3838 0.0512  1 Hg 3.08, 2 Bi 3.44
Sr 0.7500 0.6162 0.9488  1 Hg 3.08, 2 Bi 3.44
Sr 0.7500 0.8838 0.4488  1 Hg 3.08, 2 Bi 3.44
Sr 0.2500 0.1162 0.5512  1 Hg 3.08, 2 Bi 3.44
Sr 0.2500 0.6939 0.2006  2 Hg 3.10, 1 Bi 3.35
Sr 0.7500 0.3061 0.7994  2 Hg 3.10, 1 Bi 3.35
Sr 0.7500 0.1939 0.2994  2 Hg 3.10, 1 Bi 3.35
Sr 0.2500 0.8061 0.7006  2 Hg 3.10, 1 Bi 3.35
Sr 0.2500 0.4445 0.3724  5 Bi 3.47-3.59
Sr 0.7500 0.5555 0.6276  5 Bi 3.47-3.59
Sr 0.7500 0.9445 0.1276  5 Bi 3.47-3.59
Sr 0.2500 0.0555 0.8724  5 Bi 3.47-3.59
Hg 0.2500 0.1842 0.1629  3 Sr 3.08-3.10, 3 Bi 3.21-3.23
Hg 0.7500 0.8158 0.8371  3 Sr 3.08-3.10, 3 Bi 3.21-3.23
Hg 0.7500 0.6842 0.3371  3 Sr 3.08-3.10, 3 Bi 3.21-3.23
Hg 0.2500 0.3158 0.6629  3 Sr 3.08-3.10, 3 Bi 3.21-3.23
Bi 0.2500 0.6750 0.4876  2 Hg 3.21, 4 Sr 3.35-3.51
Bi 0.7500 0.3250 0.5124  2 Hg 3.21, 4 Sr 3.35-3.51
Bi 0.7500 0.1750 0.0124  2 Hg 3.21, 4 Sr 3.35-3.51
Bi 0.2500 0.8250 0.9876  2 Hg 3.21, 4 Sr 3.35-3.51
Bi 0.2500 0.9968 0.3133  1 Hg 3.23, 5 Sr 3.44-3.59
Bi 0.7500 0.0032 0.6867  1 Hg 3.23, 5 Sr 3.44-3.59
Bi 0.7500 0.4968 0.1867  1 Hg 3.23, 5 Sr 3.44-3.59
Bi 0.2500 0.5032 0.8133  1 Hg 3.23, 5 Sr 3.44-3.59

---

GaCo3Pb: optimized geometry, PBE.

ΔH_f (0 K) in meV per atom: 790.5
D(E_F) in states/eV/atom: 1.55
ΔE to the lowest computed polymorph in meV/atom: 0

abc: 4.4066 4.4066 4.4066
angles: 90.00 90.00 90.00
Closest atoms and distances in Å follow each position.
Sites, in units of the cell vectors:
Pb 0.5000 0.5000 0.5000  12 Co 3.12
Co 0.0000 0.5000 0.0000  2 Ga 2.20
Co 0.0000 0.0000 0.5000  2 Ga 2.20
Co 0.5000 0.0000 0.0000  2 Ga 2.20
Ga 0.0000 0.0000 0.0000  6 Co 2.20